LaPrCd4 PBE-GGA optimized geometry; DFT formation energy = -329 meV/atom; DFT total energy = -2.56 eV per atom; magnetization = 0.00 μB per formula unit; polymorph energy (0 for the lowest one) = 0.0353 eV/atom; SG = No. 216
1.0
6.0532 0.0000 0.0000
3.0266 5.2423 0.0000
3.0266 1.7474 4.9425
Cd La Pr
4 1 1
direct
0.1256 0.6248 0.6248
0.6248 0.6248 0.6248
0.6248 0.1256 0.6248
0.6248 0.6248 0.1256
0.0000 0.0000 0.0000
0.2500 0.2500 0.2500